No. 1
Below is crystalline CdFeHgSb at its relaxed geometry, with properties calculated at the PBE level.

Cell and atoms, written as extended XYZ:
```
16
Lattice="6.984 0.000 0.000 0.000 6.984 0.000 0.000 0.000 6.984" Properties=species:S:1:pos:R:3 pbc="T T T"
Cd 0.000 0.000 0.000
Cd 0.000 3.492 3.492
Cd 3.492 0.000 3.492
Cd 3.492 3.492 0.000
Fe 0.000 0.000 3.492
Fe 0.000 3.492 0.000
Fe 3.492 0.000 0.000
Fe 3.492 3.492 3.492
Hg 1.746 1.746 5.238
Hg 1.746 5.238 1.746
Hg 5.238 1.746 1.746
Hg 5.238 5.238 5.238
Sb 1.746 1.746 1.746
Sb 1.746 5.238 5.238
Sb 5.238 1.746 5.238
Sb 5.238 5.238 1.746
```

Calculated values
The spin magnetization comes out at 3.0 μB/f.u.



No. 2
Below is crystalline CdFeSnHg at its relaxed geometry, with properties calculated at the PBE level.

Cell and atoms, written as extended XYZ:
```
16
Lattice="6.935 0.000 0.000 0.000 6.935 0.000 0.000 0.000 6.935" Properties=species:S:1:pos:R:3 pbc="T T T"
Cd 0.000 0.000 0.000
Cd 0.000 3.467 3.467
Cd 3.467 0.000 3.467
Cd 3.467 3.467 0.000
Fe 0.000 0.000 3.467
Fe 0.000 3.467 0.000
Fe 3.467 0.000 0.000
Fe 3.467 3.467 3.467
Sn 1.734 1.734 1.734
Sn 1.734 5.201 5.201
Sn 5.201 1.734 5.201
Sn 5.201 5.201 1.734
Hg 1.734 1.734 5.201
Hg 1.734 5.201 1.734
Hg 5.201 1.734 1.734
Hg 5.201 5.201 5.201
```

Calculated values
The spin magnetization comes out at 2.7 μB/f.u.



No. 3
Below is crystalline HoCdFe at its relaxed geometry, with properties calculated at the PBE level.

Cell and atoms, written as extended XYZ:
```
12
Lattice="6.573 0.000 0.000 0.000 6.573 0.000 0.000 0.000 6.573" Properties=species:S:1:pos:R:3 pbc="T T T"
Ho 0.000 0.000 0.000
Ho 0.000 3.287 3.287
Ho 3.287 0.000 3.287
Ho 3.287 3.287 0.000
Cd 1.643 1.643 4.930
Cd 1.643 4.930 1.643
Cd 4.930 1.643 1.643
Cd 4.930 4.930 4.930
Fe 1.643 1.643 1.643
Fe 1.643 4.930 4.930
Fe 4.930 1.643 4.930
Fe 4.930 4.930 1.643
```

Calculated values
The spin magnetization comes out at 1.9 μB/f.u. As for the formation energy: 0.827 eV/atom.



No. 4
Below is crystalline HoCdFe at its relaxed geometry, with properties calculated at the PBE level.

Cell and atoms, written as extended XYZ:
```
12
Lattice="6.446 0.000 0.000 0.000 6.446 0.000 0.000 0.000 6.446" Properties=species:S:1:pos:R:3 pbc="T T T"
Ho 0.000 0.000 0.000
Ho 0.000 3.223 3.223
Ho 3.223 0.000 3.223
Ho 3.223 3.223 0.000
Cd 0.000 0.000 3.223
Cd 0.000 3.223 0.000
Cd 3.223 0.000 0.000
Cd 3.223 3.223 3.223
Fe 1.612 1.612 4.835
Fe 1.612 4.835 1.612
Fe 4.835 1.612 1.612
Fe 4.835 4.835 4.835
```

Calculated values
The spin magnetization comes out at 1.7 μB/f.u. As for the formation energy: 0.311 eV/atom.



No. 5
Below is crystalline CdInFeIr at its relaxed geometry, with properties calculated at the PBE level.

Cell and atoms, written as extended XYZ:
```
16
Lattice="6.448 0.000 0.000 0.000 6.448 0.000 0.000 0.000 6.448" Properties=species:S:1:pos:R:3 pbc="T T T"
Cd 0.000 0.000 0.000
Cd 0.000 3.224 3.224
Cd 3.224 0.000 3.224
Cd 3.224 3.224 0.000
In 0.000 0.000 3.224
In 0.000 3.224 0.000
In 3.224 0.000 0.000
In 3.224 3.224 3.224
Fe 1.612 1.612 4.836
Fe 1.612 4.836 1.612
Fe 4.836 1.612 1.612
Fe 4.836 4.836 4.836
Ir 1.612 1.612 1.612
Ir 1.612 4.836 4.836
Ir 4.836 1.612 4.836
Ir 4.836 4.836 1.612
```

Calculated values
The spin magnetization comes out at 2.7 μB/f.u.



No. 6
Below is crystalline CdInFeMo at its relaxed geometry, with properties calculated at the PBE level.

Cell and atoms, written as extended XYZ:
```
16
Lattice="6.487 0.000 0.000 0.000 6.487 0.000 0.000 0.000 6.487" Properties=species:S:1:pos:R:3 pbc="T T T"
Cd 0.000 0.000 0.000
Cd 0.000 3.243 3.243
Cd 3.243 0.000 3.243
Cd 3.243 3.243 0.000
In 1.622 1.622 1.622
In 1.622 4.865 4.865
In 4.865 1.622 4.865
In 4.865 4.865 1.622
Fe 0.000 0.000 3.243
Fe 0.000 3.243 0.000
Fe 3.243 0.000 0.000
Fe 3.243 3.243 3.243
Mo 1.622 1.622 4.865
Mo 1.622 4.865 1.622
Mo 4.865 1.622 1.622
Mo 4.865 4.865 4.865
```

Calculated values
The spin magnetization comes out at 2.5 μB/f.u.



No. 7
Below is crystalline NbCdInFe at its relaxed geometry, with properties calculated at the PBE level.

Cell and atoms, written as extended XYZ:
```
16
Lattice="6.554 0.000 0.000 0.000 6.554 0.000 0.000 0.000 6.554" Properties=species:S:1:pos:R:3 pbc="T T T"
Nb 0.000 0.000 0.000
Nb 0.000 3.277 3.277
Nb 3.277 0.000 3.277
Nb 3.277 3.277 0.000
Cd 1.638 1.638 1.638
Cd 1.638 4.915 4.915
Cd 4.915 1.638 4.915
Cd 4.915 4.915 1.638
In 0.000 0.000 3.277
In 0.000 3.277 0.000
In 3.277 0.000 0.000
In 3.277 3.277 3.277
Fe 1.638 1.638 4.915
Fe 1.638 4.915 1.638
Fe 4.915 1.638 1.638
Fe 4.915 4.915 4.915
```

Calculated values
The spin magnetization comes out at 0.9 μB/f.u.



No. 8
Below is crystalline CdInFePd at its relaxed geometry, with properties calculated at the PBE level.

Cell and atoms, written as extended XYZ:
```
16
Lattice="6.503 0.000 0.000 0.000 6.503 0.000 0.000 0.000 6.503" Properties=species:S:1:pos:R:3 pbc="T T T"
Cd 0.000 0.000 0.000
Cd 0.000 3.252 3.252
Cd 3.252 0.000 3.252
Cd 3.252 3.252 0.000
In 0.000 0.000 3.252
In 0.000 3.252 0.000
In 3.252 0.000 0.000
In 3.252 3.252 3.252
Fe 1.626 1.626 4.878
Fe 1.626 4.878 1.626
Fe 4.878 1.626 1.626
Fe 4.878 4.878 4.878
Pd 1.626 1.626 1.626
Pd 1.626 4.878 4.878
Pd 4.878 1.626 4.878
Pd 4.878 4.878 1.626
```

Calculated values
The spin magnetization comes out at 2.5 μB/f.u.



No. 9
Below is crystalline ScCdInFe at its relaxed geometry, with properties calculated at the PBE level.

Cell and atoms, written as extended XYZ:
```
16
Lattice="6.723 0.000 0.000 0.000 6.723 0.000 0.000 0.000 6.723" Properties=species:S:1:pos:R:3 pbc="T T T"
Sc 0.000 0.000 0.000
Sc 0.000 3.362 3.362
Sc 3.362 0.000 3.362
Sc 3.362 3.362 0.000
Cd 1.681 1.681 5.043
Cd 1.681 5.043 1.681
Cd 5.043 1.681 1.681
Cd 5.043 5.043 5.043
In 1.681 1.681 1.681
In 1.681 5.043 5.043
In 5.043 1.681 5.043
In 5.043 5.043 1.681
Fe 0.000 0.000 3.362
Fe 0.000 3.362 0.000
Fe 3.362 0.000 0.000
Fe 3.362 3.362 3.362
```

Calculated values
The spin magnetization comes out at 2.4 μB/f.u.



No. 10
Below is crystalline ScCdInFe at its relaxed geometry, with properties calculated at the PBE level.

Cell and atoms, written as extended XYZ:
```
16
Lattice="6.701 0.000 0.000 0.000 6.701 0.000 0.000 0.000 6.701" Properties=species:S:1:pos:R:3 pbc="T T T"
Sc 0.000 0.000 0.000
Sc 0.000 3.351 3.351
Sc 3.351 0.000 3.351
Sc 3.351 3.351 0.000
Cd 1.675 1.675 5.026
Cd 1.675 5.026 1.675
Cd 5.026 1.675 1.675
Cd 5.026 5.026 5.026
In 0.000 0.000 3.351
In 0.000 3.351 0.000
In 3.351 0.000 0.000
In 3.351 3.351 3.351
Fe 1.675 1.675 1.675
Fe 1.675 5.026 5.026
Fe 5.026 1.675 5.026
Fe 5.026 5.026 1.675
```

Calculated values
The spin magnetization comes out at 1.8 μB/f.u.



No. 11
Below is crystalline CdInFeTc at its relaxed geometry, with properties calculated at the PBE level.

Cell and atoms, written as extended XYZ:
```
16
Lattice="6.456 0.000 0.000 0.000 6.456 0.000 0.000 0.000 6.456" Properties=species:S:1:pos:R:3 pbc="T T T"
Cd 0.000 0.000 0.000
Cd 0.000 3.228 3.228
Cd 3.228 0.000 3.228
Cd 3.228 3.228 0.000
In 0.000 0.000 3.228
In 0.000 3.228 0.000
In 3.228 0.000 0.000
In 3.228 3.228 3.228
Fe 1.614 1.614 4.842
Fe 1.614 4.842 1.614
Fe 4.842 1.614 1.614
Fe 4.842 4.842 4.842
Tc 1.614 1.614 1.614
Tc 1.614 4.842 4.842
Tc 4.842 1.614 4.842
Tc 4.842 4.842 1.614
```

Calculated values
The spin magnetization comes out at 3.3 μB/f.u.



No. 12
Below is crystalline YCdInFe at its relaxed geometry, with properties calculated at the PBE level.

Cell and atoms, written as extended XYZ:
```
16
Lattice="6.941 0.000 0.000 0.000 6.941 0.000 0.000 0.000 6.941" Properties=species:S:1:pos:R:3 pbc="T T T"
Y 0.000 0.000 0.000
Y 0.000 3.471 3.471
Y 3.471 0.000 3.471
Y 3.471 3.471 0.000
Cd 1.735 1.735 1.735
Cd 1.735 5.206 5.206
Cd 5.206 1.735 5.206
Cd 5.206 5.206 1.735
In 0.000 0.000 3.471
In 0.000 3.471 0.000
In 3.471 0.000 0.000
In 3.471 3.471 3.471
Fe 1.735 1.735 5.206
Fe 1.735 5.206 1.735
Fe 5.206 1.735 1.735
Fe 5.206 5.206 5.206
```

Calculated values
The spin magnetization comes out at 2.3 μB/f.u.



No. 13
Below is crystalline YCdInFe at its relaxed geometry, with properties calculated at the PBE level.

Cell and atoms, written as extended XYZ:
```
16
Lattice="6.942 0.000 0.000 0.000 6.942 0.000 0.000 0.000 6.942" Properties=species:S:1:pos:R:3 pbc="T T T"
Y 0.000 0.000 0.000
Y 0.000 3.471 3.471
Y 3.471 0.000 3.471
Y 3.471 3.471 0.000
Cd 1.736 1.736 5.207
Cd 1.736 5.207 1.736
Cd 5.207 1.736 1.736
Cd 5.207 5.207 5.207
In 1.736 1.736 1.736
In 1.736 5.207 5.207
In 5.207 1.736 5.207
In 5.207 5.207 1.736
Fe 0.000 0.000 3.471
Fe 0.000 3.471 0.000
Fe 3.471 0.000 0.000
Fe 3.471 3.471 3.471
```

Calculated values
The spin magnetization comes out at 2.5 μB/f.u.



No. 14
Below is crystalline ZnCdInFe at its relaxed geometry, with properties calculated at the PBE level.

Cell and atoms, written as extended XYZ:
```
16
Lattice="6.513 0.000 0.000 0.000 6.513 0.000 0.000 0.000 6.513" Properties=species:S:1:pos:R:3 pbc="T T T"
Zn 0.000 0.000 0.000
Zn 0.000 3.257 3.257
Zn 3.257 0.000 3.257
Zn 3.257 3.257 0.000
Cd 1.628 1.628 4.885
Cd 1.628 4.885 1.628
Cd 4.885 1.628 1.628
Cd 4.885 4.885 4.885
In 1.628 1.628 1.628
In 1.628 4.885 4.885
In 4.885 1.628 4.885
In 4.885 4.885 1.628
Fe 0.000 0.000 3.257
Fe 0.000 3.257 0.000
Fe 3.257 0.000 0.000
Fe 3.257 3.257 3.257
```

Calculated values
The spin magnetization comes out at 2.2 μB/f.u.



No. 15
Below is crystalline KCdFeSe3 at its relaxed geometry, with properties calculated at the PBE level.

Cell and atoms, written as extended XYZ:
```
12
Lattice="8.981 0.000 0.000 0.000 3.954 0.000 -3.319 0.000 9.302" Properties=species:S:1:pos:R:3 pbc="T T T"
K 1.196 0.988 2.259
K 4.466 2.965 7.043
Cd 0.115 2.965 8.263
Cd 5.547 0.988 1.039
Fe -1.222 0.988 5.625
Fe 6.884 2.965 3.676
Se -1.913 0.988 7.851
Se 0.003 2.965 4.880
Se 3.707 2.965 1.668
Se 1.955 0.988 7.634
Se 5.659 0.988 4.422
Se 7.575 2.965 1.451
```

Calculated values
The spin magnetization comes out at 3.7 μB/f.u.



No. 16
Below is crystalline La2Mg3CdFe2 at its relaxed geometry, with properties calculated at the PBE level.

Cell and atoms, written as extended XYZ:
```
16
Lattice="10.026 0.000 0.000 0.000 4.283 0.000 -0.011 0.000 8.383" Properties=species:S:1:pos:R:3 pbc="T T T"
La 0.000 0.000 0.000
La 1.118 0.000 4.222
La 5.013 2.141 0.000
La 6.131 2.141 4.222
Mg 2.108 2.141 1.677
Mg 2.106 2.141 6.734
Mg 4.026 0.000 2.544
Mg 7.121 0.000 1.677
Mg 7.119 0.000 6.734
Mg 9.039 2.141 2.544
Cd 4.059 0.000 5.890
Cd 9.072 2.141 5.890
Fe 2.709 0.000 0.025
Fe 3.434 2.141 4.204
Fe 7.723 2.141 0.025
Fe 8.447 0.000 4.204
```

Calculated values
The spin magnetization comes out at 3.6 μB/f.u.



No. 17
Below is crystalline LaPrCd4Fe2 at its relaxed geometry, with properties calculated at the PBE level.

Cell and atoms, written as extended XYZ:
```
16
Lattice="8.277 0.000 0.000 0.000 4.269 0.000 0.000 0.000 9.961" Properties=species:S:1:pos:R:3 pbc="T T T"
La 0.000 0.000 0.000
La 0.000 2.134 4.980
Pr 4.139 0.000 1.159
Pr 4.139 2.134 6.139
Cd 1.674 0.000 7.013
Cd 1.674 2.134 2.033
Cd 2.501 0.000 4.071
Cd 2.501 2.134 9.052
Cd 5.776 0.000 4.071
Cd 5.776 2.134 9.052
Cd 6.604 0.000 7.013
Cd 6.604 2.134 2.033
Fe 0.000 0.000 2.647
Fe 0.000 2.134 7.627
Fe 4.139 0.000 8.346
Fe 4.139 2.134 3.366
```

Calculated values
The spin magnetization comes out at 4.0 μB/f.u. As for the formation energy: -0.049 eV/atom.



No. 18
Below is crystalline LiCdFe2 at its relaxed geometry, with properties calculated at the PBE level.

Cell and atoms, written as extended XYZ:
```
16
Lattice="6.012 0.000 0.000 0.000 6.012 0.000 0.000 0.000 6.012" Properties=species:S:1:pos:R:3 pbc="T T T"
Li 0.000 0.000 0.000
Li 0.000 3.006 3.006
Li 3.006 0.000 3.006
Li 3.006 3.006 0.000
Cd 1.503 1.503 4.509
Cd 1.503 4.509 1.503
Cd 4.509 1.503 1.503
Cd 4.509 4.509 4.509
Fe 0.000 0.000 3.006
Fe 0.000 3.006 0.000
Fe 1.503 1.503 1.503
Fe 1.503 4.509 4.509
Fe 3.006 0.000 0.000
Fe 3.006 3.006 3.006
Fe 4.509 1.503 4.509
Fe 4.509 4.509 1.503
```

Calculated values
The spin magnetization comes out at 4.6 μB/f.u.



No. 19
Below is crystalline LiCdFePb at its relaxed geometry, with properties calculated at the PBE level.

Cell and atoms, written as extended XYZ:
```
16
Lattice="6.587 0.000 0.000 0.000 6.587 0.000 0.000 0.000 6.587" Properties=species:S:1:pos:R:3 pbc="T T T"
Li 0.000 0.000 0.000
Li 0.000 3.293 3.293
Li 3.293 0.000 3.293
Li 3.293 3.293 0.000
Cd 1.647 1.647 4.940
Cd 1.647 4.940 1.647
Cd 4.940 1.647 1.647
Cd 4.940 4.940 4.940
Fe 0.000 0.000 3.293
Fe 0.000 3.293 0.000
Fe 3.293 0.000 0.000
Fe 3.293 3.293 3.293
Pb 1.647 1.647 1.647
Pb 1.647 4.940 4.940
Pb 4.940 1.647 4.940
Pb 4.940 4.940 1.647
```

Calculated values
The spin magnetization comes out at 2.3 μB/f.u.



No. 20
Below is crystalline LiCdFeRe at its relaxed geometry, with properties calculated at the PBE level.

Cell and atoms, written as extended XYZ:
```
16
Lattice="5.979 0.000 0.000 0.000 5.979 0.000 0.000 0.000 5.979" Properties=species:S:1:pos:R:3 pbc="T T T"
Li 0.000 0.000 0.000
Li 0.000 2.990 2.990
Li 2.990 0.000 2.990
Li 2.990 2.990 0.000
Cd 1.495 1.495 4.485
Cd 1.495 4.485 1.495
Cd 4.485 1.495 1.495
Cd 4.485 4.485 4.485
Fe 0.000 0.000 2.990
Fe 0.000 2.990 0.000
Fe 2.990 0.000 0.000
Fe 2.990 2.990 2.990
Re 1.495 1.495 1.495
Re 1.495 4.485 4.485
Re 4.485 1.495 4.485
Re 4.485 4.485 1.495
```

Calculated values
The spin magnetization comes out at 0.0 μB/f.u.



| no. | calculated total energy (eV/atom) |
| --- | --- |
| 1 | -2.96 |
| 2 | -2.95 |
| 3 | -3.77 |
| 4 | -4.28 |
| 5 | -4.97 |
| 6 | -5.12 |
| 7 | -5.18 |
| 8 | -4.30 |
| 9 | -4.57 |
| 10 | -4.54 |
| 11 | -5.11 |
| 12 | -4.57 |
| 13 | -4.59 |
| 14 | -2.98 |
| 15 | -3.98 |
| 16 | -3.98 |
| 17 | -3.79 |
| 18 | -4.59 |
| 19 | -3.55 |
| 20 | -5.51 |